# 1
YZrBe2: relaxed, GGA-PBEsol.

Calculated values
DFT formation energy = 0.0 kcal/mol of atoms
volume = 17.09 A^3/atom
symmetry = P4/mmm, No. 123

Cell: 3.250 3.250 6.472 Å, 90.00 90.00 90.00°
Fractional coordinates of all 4 atoms:
Y (0.000, 0.000, 0.000)
Zr (0.000, 0.000, 0.500)
Be (0.500, 0.500, 0.282)
Be (0.500, 0.500, 0.718)

***

# 2
TaTe4: relaxed, GGA-PBEsol.

Calculated values
formation energy (no corrections) = -0.263 eV per atom
volume = 28.64 A^3/atom
symmetry = P4/mcc, No. 124
relative energy among the computed polymorphs = 12 meV/atom

Cell: 6.503 6.503 6.774 Å, 90.00 90.00 90.00°
Fractional coordinates of all 10 atoms:
Ta (0.000, 0.000, 0.250)
Ta (0.000, 0.000, 0.750)
Te (0.145, 0.325, 0.000)
Te (0.145, 0.675, 0.500)
Te (0.325, 0.145, 0.500)
Te (0.325, 0.855, 0.000)
Te (0.675, 0.145, 0.000)
Te (0.675, 0.855, 0.500)
Te (0.855, 0.325, 0.500)
Te (0.855, 0.675, 0.000)

***

# 3
TlNi2Pt: relaxed, GGA-PBEsol.

Calculated values
DFT formation energy = 4.1 kcal/mol of atoms
volume = 14.39 A^3/atom
symmetry = F-43m, No. 216
relative energy among the computed polymorphs = 97 meV/atom

Cell: 4.334 4.334 4.334 Å, 60.00 60.00 60.00°
Fractional coordinates of all 4 atoms:
Tl (0.000, 0.000, 0.000)
Ni (0.250, 0.250, 0.250)
Ni (0.500, 0.500, 0.500)
Pt (0.750, 0.750, 0.750)

***

# 4
Rb2ZrRu: relaxed, GGA-PBEsol.

Calculated values
DFT formation energy = 47.8 kcal/mol of atoms
volume = 25.38 A^3/atom
symmetry = Fm-3m, No. 225

Cell: 5.236 5.236 5.236 Å, 60.00 60.00 60.00°
Fractional coordinates of all 4 atoms:
Rb (0.250, 0.250, 0.250)
Rb (0.750, 0.750, 0.750)
Zr (0.000, 0.000, 0.000)
Ru (0.500, 0.500, 0.500)

***

# 5
LaSb2Os: relaxed, GGA-PBEsol.

Calculated values
formation energy (no corrections) = 0.081 eV per atom
volume = 22.93 A^3/atom
symmetry = R-3m, No. 166

Cell: 9.560 9.560 9.560 Å, 20.27 20.27 20.27°
Fractional coordinates of all 4 atoms:
La (0.000, 0.000, 0.000)
Sb (0.234, 0.234, 0.234)
Sb (0.766, 0.766, 0.766)
Os (0.500, 0.500, 0.500)

***

# 6
SrMgS3: relaxed, GGA-PBEsol.

Calculated values
formation energy (no corrections) = -0.957 eV per atom
volume = 22.30 A^3/atom
symmetry = Pm-3m, No. 221

Cell: 4.813 4.813 4.813 Å, 90.00 90.00 90.00°
Fractional coordinates of all 5 atoms:
Sr (0.000, 0.000, 0.000)
Mg (0.500, 0.500, 0.500)
S (0.000, 0.500, 0.500)
S (0.500, 0.000, 0.500)
S (0.500, 0.500, 0.000)

***

The calculation returns the following spin magnetization values, one per record and in order: 0.00, 0.00, 0.00, 0.00, 0.00, 0.00 μB per formula unit.